First-principles (GGA+U) data for a relaxed FeP2ClO crystal, as listed in Alexandria via LeMat-Bulk.

Its final energy is -20.86 eV per cell. For the polymorph energy (0 for the lowest one), the calculation gives 0 meV per atom. The density of states at the Fermi level is 0.588 states/eV/atom.

It has space group P4/mmm (No. 123), with a = 4.7506 Å, b = 4.7506 Å, c = 3.6724 Å, α = 90.00°, β = 90.00° and γ = 90.00°. The inequivalent atoms are Fe at (0.0000, 0.0000, 0.0000), P at (0.0000, 0.5000, 0.0000), Cl at (0.5000, 0.5000, 0.5000) and O at (0.0000, 0.0000, 0.5000).